Entry 1:
DFT (SCAN) results for TiFeGe2 at its PBEsol-relaxed geometry.

CIF file:
```
data_TiFeGe2
_cell_length_a 8.7215
_cell_length_b 9.7663
_cell_length_c 7.6841
_cell_angle_alpha 90.00
_cell_angle_beta 90.00
_cell_angle_gamma 90.00
_symmetry_space_group_name_H-M 'P b a m'
_symmetry_Int_Tables_number 55
_symmetry_space_group_name_Hall '-P 2 2ab'
loop_
_atom_site_label
_atom_site_type_symbol
_atom_site_fract_x
_atom_site_fract_y
_atom_site_fract_z
_atom_site_occupancy
Ti1 Ti 0.1653 0.1801 0.0000 1
Ti2 Ti 0.1728 0.4521 0.2375 1
Fe1 Fe 0.0000 0.0000 0.2442 1
Fe2 Fe 0.0921 0.7465 0.2479 1
Ge1 Ge 0.0398 0.6208 0.0000 1
Ge2 Ge 0.0407 0.6219 0.5000 1
Ge3 Ge 0.1303 0.8998 0.0000 1
Ge4 Ge 0.1331 0.9053 0.5000 1
Ge5 Ge 0.1607 0.1818 0.3377 1
```

For the energy relative to the elements, the calculation gives -161 kJ/mol of formula units. As for the total magnetic moment: 0.001 μB per cell. As for the calculated density: 7581 kg/m³.

Entry 2:
DFT (SCAN) results for Tm3Fe2Ge3 at its PBEsol-relaxed geometry.

CIF file:
```
data_Tm3Fe2Ge3
_cell_length_a 4.0705
_cell_length_b 10.3456
_cell_length_c 13.4355
_cell_angle_alpha 90.00
_cell_angle_beta 90.00
_cell_angle_gamma 90.00
_symmetry_space_group_name_H-M 'C m c m'
_symmetry_Int_Tables_number 63
_symmetry_space_group_name_Hall '-C 2c 2'
loop_
_atom_site_label
_atom_site_type_symbol
_atom_site_fract_x
_atom_site_fract_y
_atom_site_fract_z
_atom_site_occupancy
Tm1 Tm 0.0000 0.0814 0.1114 1
Tm2 Tm 0.0000 0.3607 0.2500 1
Fe1 Fe 0.0000 0.2151 0.5829 1
Ge1 Ge 0.0000 0.3310 0.7500 1
Ge2 Ge 0.0000 0.3787 0.0414 1
```

For the energy relative to the elements, the calculation gives -478 kJ/mol of formula units. As for the total magnetic moment: 0.011 μB per cell. As for the calculated density: 9819 kg/m³.